Record 1
VASP calculation (PBE) on Pm2Dy5HoTm after structural relaxation.

It has space group I4/mcm (No. 140), with a = 8.560 Å, b = 8.560 Å, c = 15.796 Å, α = 90.00°, β = 90.00° and γ = 90.00°. The inequivalent atoms are Pm at (0.118, 0.382, 0.000), Dy at (0.000, 0.000, 0.000), Dy at (0.213, 0.287, 0.359), Ho at (0.000, 0.000, 0.250) and Tm at (0.000, 0.500, 0.250).

The energy of formation from the pure elements is 0.2813 eV per atom. For the magnetization, the calculation gives 0.00 μB/cell. The final energy comes out at -4.337 eV/atom.


Record 2
VASP calculation (PBE) on CaSm3Dy2 after structural relaxation.

It has space group P-1 (No. 2), with a = 6.864 Å, b = 6.887 Å, c = 9.744 Å, α = 95.76°, β = 95.47° and γ = 115.49°. The inequivalent atoms are Ca at (0.180, 0.430, 0.223), Sm at (0.014, 0.255, 0.559), Sm at (0.321, 0.069, 0.776), Sm at (0.348, 0.598, 0.887), Dy at (0.155, 0.906, 0.112) and Dy at (0.486, 0.228, 0.443).

The energy of formation from the pure elements is 0.0608 eV per atom. For the magnetization, the calculation gives 0.00 μB/cell. The final energy comes out at -4.166 eV/atom.


Record 3
VASP calculation (PBE) on La5Tb2HoEr after structural relaxation.

It has space group I4/mcm (No. 140), with a = 8.114 Å, b = 8.114 Å, c = 19.611 Å, α = 90.00°, β = 90.00° and γ = 90.00°. The inequivalent atoms are La at (0.000, 0.000, 0.000), La at (0.214, 0.286, 0.136), Tb at (0.129, 0.371, 0.500), Ho at (0.000, 0.000, 0.250) and Er at (0.000, 0.500, 0.250).

The energy of formation from the pure elements is 0.2934 eV per atom. For the magnetization, the calculation gives 0.00 μB/cell. The final energy comes out at -4.489 eV/atom.


Record 4
VASP calculation (PBE) on LiMg2Pt after structural relaxation.

It has space group R-3m (No. 166, hexagonal axes), with a = 3.0347 Å, b = 3.0347 Å, c = 27.7112 Å, α = 90.00°, β = 90.00° and γ = 120.00°. The inequivalent atoms are Li at (0.0000, 0.0000, 0.0000), Mg at (0.0000, 0.0000, 0.2425) and Pt at (0.0000, 0.0000, 0.5000).

The energy of formation from the pure elements is -0.3319 eV per atom. For the magnetization, the calculation gives 0.00 μB/cell. The final energy comes out at -3.118 eV/atom. The energy above the lowest structure with this stoichiometry comes out at 306 meV/atom.


Record 5
VASP calculation (PBE) on RbCdFe2I8 after structural relaxation.

It has space group C2/m (No. 12), with a = 12.074 Å, b = 8.357 Å, c = 10.703 Å, α = 90.00°, β = 97.30° and γ = 90.00°. The inequivalent atoms are Rb at (0.000, 0.000, 0.000), Cd at (0.000, 0.000, 0.500), Fe at (0.115, 0.500, 0.285), I at (0.018, 0.253, 0.710), I at (0.194, 0.500, 0.076) and I at (0.249, 0.000, 0.508).

The raw formation energy comes out at -0.46 eV per atom. For the magnetization, the calculation gives 18.00 μB/cell. The final energy comes out at -3.061 eV/atom.


Record 6
VASP calculation (PBE) on CaCd after structural relaxation.

It has space group I4_1/amd (No. 141, origin choice 2), with a = 4.685 Å, b = 4.685 Å, c = 10.681 Å, α = 90.00°, β = 90.00° and γ = 90.00°. The inequivalent atoms are Ca at (0.000, 0.250, 0.375) and Cd at (0.000, 0.250, 0.875).

The energy of formation from the pure elements is -0.2126 eV per atom. For the magnetization, the calculation gives 0.00 μB/cell. The final energy comes out at -1.671 eV/atom.


Record 7
VASP calculation (PBE) on Sr2OsBr after structural relaxation.

It has space group Amm2 (No. 38), with a = 5.322 Å, b = 3.515 Å, c = 11.645 Å, α = 90.00°, β = 90.00° and γ = 90.00°. The inequivalent atoms are Sr at (0.000, 0.000, 0.000), Sr at (0.500, 0.000, 0.255), Os at (0.000, 0.000, 0.742) and Br at (0.500, 0.000, 0.518).

The raw formation energy comes out at -0.08 eV per atom. For the magnetization, the calculation gives 1.08 μB/cell. The final energy comes out at -4.149 eV/atom. The energy above the lowest structure with this stoichiometry comes out at 175 meV/atom.


Record 8
VASP calculation (PBE) on Cd2AgPb after structural relaxation.

It has space group Cmmm (No. 65), with a = 6.021 Å, b = 9.150 Å, c = 3.471 Å, α = 90.00°, β = 90.00° and γ = 90.00°. The inequivalent atoms are Cd at (0.250, 0.250, 0.000), Ag at (0.000, 0.000, 0.500) and Pb at (0.000, 0.500, 0.500).

The energy of formation from the pure elements is 0.0930 eV per atom. For the magnetization, the calculation gives 0.00 μB/cell. The final energy comes out at -2.004 eV/atom.